No. 1
Re2GePdPt | PBE-GGA | relaxed

As for the crystal system: tetragonal. The value obtained for the mass density is 11.4 Mg/m³. For the formation energy, the calculation gives 2.169 eV per atom. For the calculated total energy, the calculation gives -29.9 eV for the cell shown.

Structure (CIF):
```
data_Re2GePdPt
_cell_length_a 4.705
_cell_length_b 4.705
_cell_length_c 4.915
_cell_angle_alpha 90.00
_cell_angle_beta 90.00
_cell_angle_gamma 90.00
_space_group_name_H-M_alt 'P 4/m m m'
_space_group_IT_number 123
_space_group_name_Hall '-P 4 2'
loop_
_atom_site_label
_atom_site_type_symbol
_atom_site_fract_x
_atom_site_fract_y
_atom_site_fract_z
_atom_site_occupancy
Re1 Re 0.000 0.500 0.000 1
Ge1 Ge 0.000 0.000 0.500 1
Pd1 Pd 0.500 0.500 0.000 1
Pt1 Pt 0.500 0.500 0.500 1
```

---

No. 2
Cs2Ag2SnS4 | PBE-GGA | relaxed

The calculation puts the raw formation energy at -0.569 eV/atom. As for the crystal system: monoclinic. The value obtained for the mass density is 4.9 Mg/m³. For the calculated total energy, the calculation gives -66.1 eV for the cell shown.

Structure (CIF):
```
data_Cs2Ag2SnS4
_cell_length_a 15.633
_cell_length_b 4.131
_cell_length_c 8.147
_cell_angle_alpha 90.00
_cell_angle_beta 111.20
_cell_angle_gamma 90.00
_space_group_name_H-M_alt 'C 1 2/m 1'
_space_group_IT_number 12
loop_
_space_group_symop_operation_xyz
'x,y,z'
'-x,-y,-z'
'-x,y,-z'
'x,-y,z'
'x+1/2,y+1/2,z'
'-x+1/2,-y+1/2,-z'
'-x+1/2,y+1/2,-z'
'x+1/2,-y+1/2,z'
loop_
_atom_site_label
_atom_site_type_symbol
_atom_site_fract_x
_atom_site_fract_y
_atom_site_fract_z
_atom_site_occupancy
Cs1 Cs 0.137 0.000 0.062 1
Ag1 Ag 0.186 0.500 0.476 1
Sn1 Sn 0.000 0.000 0.500 1
S1 S 0.015 0.500 0.291 1
S2 S 0.178 0.000 0.665 1
```

---

No. 3
SrCuIr2 | PBE-GGA | relaxed

As for the crystal system: trigonal. The value obtained for the mass density is 13.1 Mg/m³. For the excess energy over the best structure of this formula in the dataset, the calculation gives 395 meV per atom. For the formation energy, the calculation gives 0.585 eV per atom. For the calculated total energy, the calculation gives -63.5 eV for the cell shown.

Structure (CIF):
```
data_SrCuIr2
_cell_length_a 2.9048
_cell_length_b 2.9048
_cell_length_c 27.7805
_cell_angle_alpha 90.00
_cell_angle_beta 90.00
_cell_angle_gamma 120.00
_space_group_name_H-M_alt 'R -3 m'
_space_group_IT_number 166
_space_group_name_Hall '-R 3 2"'
loop_
_atom_site_label
_atom_site_type_symbol
_atom_site_fract_x
_atom_site_fract_y
_atom_site_fract_z
_atom_site_occupancy
Sr1 Sr 0.0000 0.0000 0.0000 1
Cu1 Cu 0.0000 0.0000 0.5000 1
Ir1 Ir 0.0000 0.0000 0.2390 1
```

---

No. 4
RbAuI3 | PBE-GGA | relaxed

The calculation puts the raw formation energy at -0.630 eV/atom. As for the crystal system: triclinic. The value obtained for the mass density is 4.6 Mg/m³. For the calculated total energy, the calculation gives -24.1 eV for the cell shown.

Structure (CIF):
```
data_RbAuI3
_cell_length_a 5.640
_cell_length_b 8.489
_cell_length_c 11.267
_cell_angle_alpha 68.02
_cell_angle_beta 76.85
_cell_angle_gamma 73.05
_space_group_name_H-M_alt 'P 1'
_space_group_IT_number 1
loop_
_space_group_symop_operation_xyz
'x,y,z'
loop_
_atom_site_label
_atom_site_type_symbol
_atom_site_fract_x
_atom_site_fract_y
_atom_site_fract_z
_atom_site_occupancy
Rb1 Rb 0.000 0.000 0.000 1
Rb2 Rb 0.324 0.884 0.534 1
Au1 Au 0.643 0.436 0.250 1
Au2 Au 0.785 0.221 0.664 1
I1 I 0.210 0.457 0.813 1
I2 I 0.414 0.447 0.028 1
I3 I 0.494 0.767 0.219 1
I4 I 0.646 0.929 0.776 1
I5 I 0.826 0.102 0.312 1
I6 I 0.979 0.490 0.557 1
```

---

No. 5
DyHoFeAg | PBE-GGA | relaxed

As for the crystal system: cubic. The value obtained for the mass density is 9.7 Mg/m³. For the formation energy, the calculation gives -0.016 eV per atom. For the calculated total energy, the calculation gives -82.2 eV for the cell shown.

Structure (CIF):
```
data_DyHoFeAg
_cell_length_a 6.942
_cell_length_b 6.942
_cell_length_c 6.942
_cell_angle_alpha 90.00
_cell_angle_beta 90.00
_cell_angle_gamma 90.00
_space_group_name_H-M_alt 'F -4 3 m'
_space_group_IT_number 216
_space_group_name_Hall 'F -4 2 3'
loop_
_atom_site_label
_atom_site_type_symbol
_atom_site_fract_x
_atom_site_fract_y
_atom_site_fract_z
_atom_site_occupancy
Dy1 Dy 0.000 0.000 0.000 1
Ho1 Ho 0.000 0.000 0.500 1
Fe1 Fe 0.250 0.250 0.750 1
Ag1 Ag 0.250 0.250 0.250 1
```

---

No. 6
VCd3Te | PBE-GGA | relaxed

The calculation puts the raw formation energy at 1.037 eV/atom. As for the crystal system: cubic. The value obtained for the mass density is 4.8 Mg/m³. For the excess energy over the best structure of this formula in the dataset, the calculation gives 292 meV per atom. For the calculated total energy, the calculation gives -9.8 eV for the cell shown.

Structure (CIF):
```
data_VCd3Te
_cell_length_a 5.629
_cell_length_b 5.629
_cell_length_c 5.629
_cell_angle_alpha 90.00
_cell_angle_beta 90.00
_cell_angle_gamma 90.00
_space_group_name_H-M_alt 'P m -3 m'
_space_group_IT_number 221
_space_group_name_Hall '-P 4 2 3'
loop_
_atom_site_label
_atom_site_type_symbol
_atom_site_fract_x
_atom_site_fract_y
_atom_site_fract_z
_atom_site_occupancy
V1 V 0.000 0.000 0.000 1
Cd1 Cd 0.000 0.500 0.500 1
Te1 Te 0.500 0.500 0.500 1
```

---

No. 7
CaV3Si | PBE-GGA | relaxed

The calculation puts the raw formation energy at 2.162 eV/atom. As for the crystal system: cubic. The value obtained for the mass density is 4.4 Mg/m³. For the excess energy over the best structure of this formula in the dataset, the calculation gives 1475 meV per atom. For the calculated total energy, the calculation gives -24.0 eV for the cell shown.

Structure (CIF):
```
data_CaV3Si
_cell_length_a 4.354
_cell_length_b 4.354
_cell_length_c 4.354
_cell_angle_alpha 90.00
_cell_angle_beta 90.00
_cell_angle_gamma 90.00
_space_group_name_H-M_alt 'P m -3 m'
_space_group_IT_number 221
_space_group_name_Hall '-P 4 2 3'
loop_
_atom_site_label
_atom_site_type_symbol
_atom_site_fract_x
_atom_site_fract_y
_atom_site_fract_z
_atom_site_occupancy
Ca1 Ca 0.000 0.000 0.000 1
V1 V 0.000 0.000 0.500 1
Si1 Si 0.500 0.500 0.500 1
```

---

No. 8
Ca2Pa2N5 | PBE-GGA | relaxed

The calculation puts the raw formation energy at -1.237 eV/atom. As for the crystal system: orthorhombic. The value obtained for the mass density is 7.9 Mg/m³. For the calculated total energy, the calculation gives -303.0 eV for the cell shown.

Structure (CIF):
```
data_Ca2Pa2N5
_cell_length_a 11.866
_cell_length_b 6.575
_cell_length_c 6.599
_cell_angle_alpha 90.00
_cell_angle_beta 90.00
_cell_angle_gamma 90.00
_space_group_name_H-M_alt 'C m c e'
_space_group_IT_number 64
_space_group_name_Hall '-C 2ac 2'
loop_
_atom_site_label
_atom_site_type_symbol
_atom_site_fract_x
_atom_site_fract_y
_atom_site_fract_z
_atom_site_occupancy
Ca1 Ca 0.209 0.000 0.000 1
Pa1 Pa 0.000 0.165 0.338 1
N1 N 0.000 0.000 0.000 1
N2 N 0.120 0.158 0.654 1
```

---

No. 9
LiThHgRh | PBE-GGA | relaxed

As for the crystal system: cubic. The value obtained for the mass density is 11.1 Mg/m³. For the formation energy, the calculation gives -0.359 eV per atom. For the calculated total energy, the calculation gives -73.7 eV for the cell shown.

Structure (CIF):
```
data_LiThHgRh
_cell_length_a 6.865
_cell_length_b 6.865
_cell_length_c 6.865
_cell_angle_alpha 90.00
_cell_angle_beta 90.00
_cell_angle_gamma 90.00
_space_group_name_H-M_alt 'F -4 3 m'
_space_group_IT_number 216
_space_group_name_Hall 'F -4 2 3'
loop_
_atom_site_label
_atom_site_type_symbol
_atom_site_fract_x
_atom_site_fract_y
_atom_site_fract_z
_atom_site_occupancy
Li1 Li 0.000 0.000 0.000 1
Th1 Th 0.250 0.250 0.250 1
Hg1 Hg 0.250 0.250 0.750 1
Rh1 Rh 0.000 0.000 0.500 1
```

---

No. 10
PrEr4Hg4 | PBE-GGA | relaxed

As for the crystal system: tetragonal. The value obtained for the mass density is 10.6 Mg/m³. For the formation energy, the calculation gives -0.252 eV per atom. For the calculated total energy, the calculation gives -53.0 eV for the cell shown.

Structure (CIF):
```
data_PrEr4Hg4
_cell_length_a 9.609
_cell_length_b 9.609
_cell_length_c 5.458
_cell_angle_alpha 90.00
_cell_angle_beta 90.00
_cell_angle_gamma 90.00
_space_group_name_H-M_alt 'P 42/n'
_space_group_IT_number 86
loop_
_space_group_symop_operation_xyz
'x,y,z'
'-x,-y,-z'
'-y,x+1/2,z+1/2'
'y,-x+1/2,-z+1/2'
'-x+1/2,-y+1/2,z'
'x+1/2,y+1/2,-z'
'y+1/2,-x,z+1/2'
'-y+1/2,x,-z+1/2'
loop_
_atom_site_label
_atom_site_type_symbol
_atom_site_fract_x
_atom_site_fract_y
_atom_site_fract_z
_atom_site_occupancy
Pr1 Pr 0.250 0.250 0.250 1
Er1 Er 0.103 0.840 0.671 1
Hg1 Hg 0.040 0.144 0.830 1
```

---

No. 11
ZrPb2Cl2 | PBE-GGA | relaxed

The calculation puts the raw formation energy at 0.149 eV/atom. As for the crystal system: tetragonal. The value obtained for the mass density is 6.9 Mg/m³. For the excess energy over the best structure of this formula in the dataset, the calculation gives 312 meV per atom. For the calculated total energy, the calculation gives -37.8 eV for the cell shown.

Structure (CIF):
```
data_ZrPb2Cl2
_cell_length_a 4.409
_cell_length_b 4.409
_cell_length_c 14.261
_cell_angle_alpha 90.00
_cell_angle_beta 90.00
_cell_angle_gamma 90.00
_space_group_name_H-M_alt 'I 4/m m m'
_space_group_IT_number 139
_space_group_name_Hall '-I 4 2'
loop_
_atom_site_label
_atom_site_type_symbol
_atom_site_fract_x
_atom_site_fract_y
_atom_site_fract_z
_atom_site_occupancy
Zr1 Zr 0.000 0.000 0.000 1
Pb1 Pb 0.000 0.000 0.393 1
Cl1 Cl 0.000 0.500 0.250 1
```